Record 1
# GGA-PBE Nd2Y2CBrCl4, optimized geometry
data_Nd2Y2CBrCl4
_chemical_formula_sum 'Nd2 Y2 C1 Br1 Cl4'
_cell_length_a 8.929
_cell_length_b 8.929
_cell_length_c 8.086
_cell_angle_alpha 104.68
_cell_angle_beta 104.68
_cell_angle_gamma 24.62
_space_group_name_H-M_alt 'P 1'
_space_group_IT_number 1
_space_group_name_Hall 'P 1'
loop_
_atom_site_label
_atom_site_type_symbol
_atom_site_fract_x
_atom_site_fract_y
_atom_site_fract_z
Y1 Y 0.000 0.000 0.797
Cl1 Cl 0.834 0.834 0.169
Nd1 Nd 0.351 0.351 0.914
Cl2 Cl 0.839 0.839 0.651
Cl3 Cl 0.166 0.166 0.831
Cl4 Cl 0.161 0.161 0.349
Br1 Br 0.500 0.500 0.500
Nd2 Nd 0.649 0.649 0.086
Y2 Y 0.000 0.000 0.203
C1 C 0.500 0.500 0.000
# E = -5.720 eV per atom
# symmetry = C2/m
# spin magnetization = 0.34 Bohr magnetons per cell

=====

Record 2
# GGA-PBE Pd2CBrCl, optimized geometry
data_Pd2CBrCl
_chemical_formula_sum 'Pd2 C1 Br1 Cl1'
_cell_length_a 3.395
_cell_length_b 3.395
_cell_length_c 9.794
_cell_angle_alpha 90.00
_cell_angle_beta 90.00
_cell_angle_gamma 120.00
_space_group_name_H-M_alt 'P 1'
_space_group_IT_number 1
_space_group_name_Hall 'P 1'
loop_
_atom_site_label
_atom_site_type_symbol
_atom_site_fract_x
_atom_site_fract_y
_atom_site_fract_z
Br1 Br 0.333 0.667 0.794
Cl1 Cl 0.667 0.333 0.218
Pd1 Pd 0.667 0.333 0.603
Pd2 Pd 0.333 0.667 0.389
C1 C 0.000 0.000 0.496
# E = -4.260 eV per atom
# symmetry = P3m1

=====

Record 3
# GGA-PBE Pr4CBr3Cl2, optimized geometry
data_Pr4CBr3Cl2
_chemical_formula_sum 'Pr4 C1 Br3 Cl2'
_cell_length_a 9.439
_cell_length_b 9.439
_cell_length_c 8.449
_cell_angle_alpha 104.39
_cell_angle_beta 104.39
_cell_angle_gamma 24.32
_space_group_name_H-M_alt 'P 1'
_space_group_IT_number 1
_space_group_name_Hall 'P 1'
loop_
_atom_site_label
_atom_site_type_symbol
_atom_site_fract_x
_atom_site_fract_y
_atom_site_fract_z
Br1 Br 0.500 0.500 0.500
Br2 Br 0.830 0.830 0.166
Cl1 Cl 0.161 0.161 0.332
Pr1 Pr 0.000 0.000 0.792
C1 C 0.500 0.500 0.000
Br3 Br 0.170 0.170 0.834
Cl2 Cl 0.839 0.839 0.668
Pr2 Pr 0.358 0.358 0.916
Pr3 Pr 0.642 0.642 0.084
Pr4 Pr 0.000 0.000 0.208
# E = -5.235 eV per atom
# symmetry = C2/m
# spin magnetization = 0.23 Bohr magnetons per cell